Here is crystalline TlIr2Au at its relaxed geometry from Alexandria. Energies are from PBE.

Cell lengths 4.896, 4.896, 5.089 Å; angles 100.67, 100.67, 35.31 degrees
Element x y z (fractional)
Tl  0.000  0.000  0.000
Ir  0.251  0.251  0.735
Ir  0.749  0.749  0.265
Au  0.500  0.500  0.500

- Magnetic moment: 0.00 μB per atom
- Space-group type: C2/m
- Calculated total energy: -21.42 eV per cell
- ΔE to the lowest computed polymorph: 100.5 meV/atom